A plane-wave DFT calculation with PBE-GGA was carried out for a relaxed Na2DyPa2Se6 crystal.

Values from the calculation:
* raw formation energy: -1.44 eV/atom
* crystal system: monoclinic

Cell lengths 7.171, 12.318, 7.505 Å; angles 90.00, 107.99, 90.00 degrees
Space group C2/m (No. 12)
Unique sites:
Na: 0.000 0.166 0.000 x4
Dy: 0.000 0.000 0.500 x2
Pa: 0.000 0.338 0.500 x4
Se: 0.241 0.169 0.727 x8
Se: 0.247 0.500 0.734 x4

A plane-wave DFT calculation with PBE-GGA was carried out for a relaxed NaDy2PaSe6 crystal.

Values from the calculation:
* raw formation energy: -1.57 eV/atom
* crystal system: trigonal

Cell lengths 7.2333, 7.2333, 19.6151 Å; angles 90.00, 90.00, 120.00 degrees
Space group R3 (No. 146, hexagonal axes)
Unique sites:
Na: 0.0000 0.0000 0.0000 x3
Dy: 0.0000 0.0000 0.2886 x3
Dy: 0.0000 0.0000 0.8001 x3
Pa: 0.0000 0.0000 0.4818 x3
Se: 0.0214 0.3406 0.5557 x9
Se: 0.0236 0.6346 0.0568 x9

A plane-wave DFT calculation with PBE-GGA was carried out for a relaxed Na3Dy3PaSe8 crystal.

Values from the calculation:
* raw formation energy: -1.63 eV/atom
* crystal system: trigonal

Cell lengths 8.3059, 8.3059, 21.1231 Å; angles 90.00, 90.00, 120.00 degrees
Space group R-3m (No. 166, hexagonal axes)
Unique sites:
Na: 0.0000 0.5000 0.0000 x9
Dy: 0.0000 0.5000 0.5000 x9
Pa: 0.0000 0.0000 0.5000 x3
Se: 0.0000 0.0000 0.2430 x6
Se: 0.0007 0.5004 0.2419 x18

A plane-wave DFT calculation with PBE-GGA was carried out for a relaxed Na3DyPa2Te6 crystal.

Values from the calculation:
* raw formation energy: -0.99 eV/atom
* crystal system: monoclinic

Cell lengths 7.543, 13.070, 8.157 Å; angles 90.00, 107.94, 90.00 degrees
Space group C2/m (No. 12)
Unique sites:
Na: 0.000 0.000 0.000 x2
Na: 0.000 0.334 0.000 x4
Dy: 0.000 0.500 0.500 x2
Pa: 0.000 0.167 0.500 x4
Te: 0.245 0.334 0.738 x8
Te: 0.248 0.000 0.737 x4

A plane-wave DFT calculation with PBE-GGA was carried out for a relaxed Na2Dy2PaTe6 crystal.

Values from the calculation:
* raw formation energy: -1.17 eV/atom
* crystal system: monoclinic

Cell lengths 7.636, 13.184, 8.057 Å; angles 90.00, 108.54, 90.00 degrees
Space group C2/m (No. 12)
Unique sites:
Na: 0.000 0.167 0.000 x4
Dy: 0.000 0.333 0.500 x4
Pa: 0.000 0.000 0.500 x2
Te: 0.244 0.500 0.730 x4
Te: 0.245 0.165 0.732 x8

A plane-wave DFT calculation with PBE-GGA was carried out for a relaxed Na3Dy2PaTe6 crystal.

Values from the calculation:
* raw formation energy: -1.14 eV/atom
* crystal system: monoclinic

Cell lengths 7.620, 13.200, 8.048 Å; angles 90.00, 108.39, 90.00 degrees
Space group C2/m (No. 12)
Unique sites:
Na: 0.000 0.000 0.000 x2
Na: 0.000 0.333 0.000 x4
Dy: 0.000 0.167 0.500 x4
Pa: 0.000 0.500 0.500 x2
Te: 0.244 0.000 0.735 x4
Te: 0.246 0.333 0.735 x8

A plane-wave DFT calculation with PBE-GGA was carried out for a relaxed Na2DyPaTe4 crystal.

Values from the calculation:
* raw formation energy: -1.07 eV/atom
* crystal system: monoclinic

Cell lengths 7.635, 4.348, 8.083 Å; angles 90.00, 107.86, 90.00 degrees
Space group P2/m (No. 10)
Unique sites:
Na: 0.000 0.000 0.000 x1
Na: 0.500 0.500 0.000 x1
Dy: 0.000 0.500 0.500 x1
Pa: 0.500 0.000 0.500 x1
Te: 0.243 0.000 0.735 x2
Te: 0.251 0.500 0.262 x2

A plane-wave DFT calculation with PBE-GGA was carried out for a relaxed NaDyPb2 crystal.

Values from the calculation:
* DFT formation energy: -317 meV per atom
* crystal system: tetragonal

Cell lengths 4.941, 4.941, 4.503 Å; angles 90.00, 90.00, 90.00 degrees
Space group P4/mmm (No. 123)
Unique sites:
Na: 0.000 0.000 0.000 x1
Dy: 0.500 0.500 0.000 x1
Pb: 0.000 0.500 0.500 x2

A plane-wave DFT calculation with PBE-GGA was carried out for a relaxed NaDy4Pb5 crystal.

Values from the calculation:
* DFT formation energy: -380 meV per atom
* crystal system: tetragonal

Cell lengths 3.528, 3.528, 22.847 Å; angles 90.00, 90.00, 90.00 degrees
Space group P4/mmm (No. 123)
Unique sites:
Na: 0.000 0.000 0.000 x1
Dy: 0.000 0.000 0.205 x2
Dy: 0.000 0.000 0.402 x2
Pb: 0.500 0.500 0.106 x2
Pb: 0.500 0.500 0.303 x2
Pb: 0.500 0.500 0.500 x1

A plane-wave DFT calculation with PBE-GGA was carried out for a relaxed NaDyPb2 crystal.

Values from the calculation:
* DFT formation energy: -52 meV per atom
* crystal system: trigonal

Cell lengths 4.9102, 4.9102, 18.7676 Å; angles 90.00, 90.00, 120.00 degrees
Space group R3m (No. 160, hexagonal axes)
Unique sites:
Na: 0.0000 0.0000 0.0000 x3
Dy: 0.0000 0.0000 0.1884 x3
Pb: 0.0000 0.0000 0.5931 x3
Pb: 0.0000 0.0000 0.7667 x3

| no. | total DFT energy (no corrections) (eV/atom) |
| --- | --- |
| 1 | -5.72 |
| 2 | -5.67 |
| 3 | -5.30 |
| 4 | -4.86 |
| 5 | -4.82 |
| 6 | -4.60 |
| 7 | -4.73 |
| 8 | -3.65 |
| 9 | -4.21 |
| 10 | -3.39 |